# 1
A crystal of SrNiSb2 relaxed with PBEsol. Source: Alexandria, functional meta-GGA SCAN.

The calculation puts the formation energy from raw total energies at -0.02 eV/atom.

It has space group I-4m2 (No. 119), with a = 4.376 Å, b = 4.376 Å, c = 9.675 Å, α = 90.00°, β = 90.00° and γ = 90.00°. The distinct sites, in fractional coordinates, are Sr at (0.000, 0.000, 0.000), Ni at (0.000, 0.500, 0.250), Sb at (0.000, 0.000, 0.500) and Sb at (0.000, 0.500, 0.750).

---

# 2
A crystal of ZrBeAg relaxed with PBEsol. Source: Alexandria, functional meta-GGA SCAN.

The relative energy among the computed polymorphs is 556 meV per atom.

It has space group F-43m (No. 216), with a = 6.188 Å, b = 6.188 Å, c = 6.188 Å, α = 90.00°, β = 90.00° and γ = 90.00°. The distinct sites, in fractional coordinates, are Zr at (0.000, 0.000, 0.000), Be at (0.250, 0.250, 0.250) and Ag at (0.250, 0.250, 0.750).

---

# 3
A crystal of ScCuP2 relaxed with PBEsol. Source: Alexandria, functional meta-GGA SCAN.

It has space group F-43m (No. 216), with a = 6.194 Å, b = 6.194 Å, c = 6.194 Å, α = 90.00°, β = 90.00° and γ = 90.00°. The distinct sites, in fractional coordinates, are Sc at (0.000, 0.000, 0.000), Cu at (0.250, 0.250, 0.250), P at (0.000, 0.000, 0.500) and P at (0.250, 0.250, 0.750).

---

# 4
A crystal of GaTcI2O relaxed with PBEsol. Source: Alexandria, functional meta-GGA SCAN.

The calculation puts the formation energy from raw total energies at 0.18 eV/atom.

It has space group P4/mmm (No. 123), with a = 5.648 Å, b = 5.648 Å, c = 3.566 Å, α = 90.00°, β = 90.00° and γ = 90.00°. The distinct sites, in fractional coordinates, are Ga at (0.000, 0.000, 0.000), Tc at (0.500, 0.500, 0.500), I at (0.000, 0.500, 0.000) and O at (0.000, 0.000, 0.500).

---

no.,uncorrected energy (eV per cell)
1,-226.1
2,-256.6
3,-201.7
4,-130.2